Computed, not measured: a relaxed structure of GeW3N at the PBE level of DFT.

Cell lengths 4.129, 4.129, 4.129 Å; angles 90.00, 90.00, 90.00 degrees
Atoms (fractional coordinates):
Ge (0.000, 0.000, 0.000)
W (0.000, 0.500, 0.500)
W (0.500, 0.000, 0.500)
W (0.500, 0.500, 0.000)
N (0.500, 0.500, 0.500)

Computed properties:
Electronic total energy: -0.3721 Ha/atom
Formation energy without anion corrections: 1.2 eV/f.u.
Calculated density: 15.06 g/cm³
Magnetization: 0.00 μB per formula unit
Distance to the lowest polymorph of the same formula: 0.000 eV/atom